*a*
Ta2NbPt2: relaxed, PBE-GGA.

Cell: 7.893 7.893 2.851 Å, 90.00 90.00 90.00°
Atoms (fractional coordinates):
Nb1 0.000 0.000 0.000
Nb2 0.500 0.500 0.000
Pt1 0.129 0.629 0.500
Pt2 0.629 0.871 0.500
Pt3 0.871 0.371 0.500
Pt4 0.371 0.129 0.500
Ta1 0.332 0.832 0.000
Ta2 0.832 0.668 0.000
Ta3 0.668 0.168 0.000
Ta4 0.168 0.332 0.000


*b*
Ta2NbPt2: relaxed, PBE-GGA.

Cell: 7.938 7.938 2.799 Å, 90.00 90.00 90.00°
Atoms (fractional coordinates):
Nb1 0.000 0.000 0.000
Nb2 0.500 0.500 0.000
Pt1 0.374 0.874 0.000
Pt2 0.874 0.626 0.000
Pt3 0.626 0.126 0.000
Pt4 0.126 0.374 0.000
Ta1 0.171 0.671 0.500
Ta2 0.671 0.829 0.500
Ta3 0.829 0.329 0.500
Ta4 0.329 0.171 0.500


Which one sits at the bottom of the stability order? *a* does.


*a*
Ta6Nb12Pt: relaxed, PBE-GGA.

Cell: 8.131 8.131 8.131 Å, 112.37 112.37 112.37°
Atoms (fractional coordinates):
Ta1 0.013 0.673 0.013
Ta2 0.013 0.013 0.673
Ta3 0.673 0.013 0.013
Ta4 0.987 0.987 0.327
Ta5 0.987 0.327 0.987
Ta6 0.327 0.987 0.987
Nb1 0.787 0.213 0.500
Nb2 0.405 0.164 0.405
Nb3 0.405 0.405 0.164
Nb4 0.836 0.595 0.595
Nb5 0.595 0.595 0.836
Nb6 0.595 0.836 0.595
Nb7 0.500 0.787 0.213
Nb8 0.213 0.500 0.787
Nb9 0.213 0.787 0.500
Nb10 0.500 0.213 0.787
Nb11 0.787 0.500 0.213
Nb12 0.164 0.405 0.405
Pt1 0.000 0.000 0.000


*b*
Ta6Nb12Pt: relaxed, PBE-GGA.

Cell: 7.102 7.102 7.102 Å, 89.50 89.50 89.50°
Atoms (fractional coordinates):
Ta1 0.730 0.884 0.258
Ta2 0.742 0.270 0.116
Ta3 0.116 0.742 0.270
Ta4 0.270 0.116 0.742
Ta5 0.258 0.730 0.884
Ta6 0.884 0.258 0.730
Nb1 0.812 0.522 0.422
Nb2 0.422 0.812 0.522
Nb3 0.522 0.422 0.812
Nb4 0.188 0.478 0.578
Nb5 0.578 0.188 0.478
Nb6 0.478 0.578 0.188
Nb7 0.065 0.144 0.383
Nb8 0.856 0.617 0.935
Nb9 0.617 0.935 0.856
Nb10 0.935 0.856 0.617
Nb11 0.144 0.383 0.065
Nb12 0.383 0.065 0.144
Pt1 0.000 0.000 0.000


Which one sits at the bottom of the stability order? *a* does.


*a*
NbTc2Pt: relaxed, PBE-GGA.

Cell: 4.023 3.928 3.928 Å, 90.00 90.00 90.00°
Atoms (fractional coordinates):
Nb1 0.500 0.500 0.500
Tc1 0.000 0.000 0.500
Tc2 0.000 0.500 0.000
Pt1 0.500 0.000 0.000


*b*
NbTc2Pt: relaxed, PBE-GGA.

Cell: 3.814 3.814 9.835 Å, 78.82 78.82 90.00°
Atoms (fractional coordinates):
Nb1 0.500 0.500 0.000
Nb2 0.250 0.750 0.500
Tc1 0.664 0.125 0.250
Tc2 0.086 0.625 0.250
Tc3 0.375 0.336 0.750
Tc4 0.875 0.914 0.750
Pt1 0.000 0.000 0.000
Pt2 0.750 0.250 0.500


Which one sits at the bottom of the stability order? *b* does.


*a*
Nb3TePt: relaxed, PBE-GGA.

Cell: 4.949 4.949 4.949 Å, 90.00 90.00 90.00°
Atoms (fractional coordinates):
Nb1 0.000 0.500 0.000
Nb2 0.000 0.000 0.500
Nb3 0.500 0.000 0.000
Te1 0.500 0.500 0.500
Pt1 0.000 0.000 0.000


*b*
Nb3TePt: relaxed, PBE-GGA.

Cell: 4.952 4.952 4.952 Å, 90.00 90.00 90.00°
Atoms (fractional coordinates):
Nb1 0.000 0.500 0.000
Nb2 0.000 0.000 0.500
Nb3 0.500 0.000 0.000
Te1 0.000 0.000 0.000
Pt1 0.500 0.500 0.500


Which one sits at the bottom of the stability order? *b* does.


*a*
NbTe2Pt: relaxed, PBE-GGA.

Cell: 6.200 6.200 7.539 Å, 65.72 65.72 90.00°
Last column: magnetic moment on the atom in μB.
Atoms (fractional coordinates):
Nb1 0.500 0.500 0.000  1.04
Nb2 0.250 0.750 0.500  1.02
Te1 0.635 0.125 0.250  -0.06
Te2 0.115 0.625 0.250  -0.06
Te3 0.375 0.365 0.750  -0.06
Te4 0.875 0.885 0.750  -0.06
Pt1 0.000 0.000 0.000  -0.13
Pt2 0.750 0.250 0.500  -0.13


*b*
NbTe2Pt: relaxed, PBE-GGA.

Cell: 9.118 9.118 9.118 Å, 22.38 22.38 22.38°
Atoms (fractional coordinates):
Nb1 0.500 0.500 0.500
Te1 0.904 0.904 0.904
Te2 0.096 0.096 0.096
Pt1 0.000 0.000 0.000


Which one sits at the bottom of the stability order? *a* does.


*a*
NbTe2Pt: relaxed, PBE-GGA.

Cell: 4.898 4.898 4.898 Å, 60.00 60.00 60.00°
Last column: magnetic moment on the atom in μB.
Atoms (fractional coordinates):
Nb1 0.000 0.000 0.000  0.33
Te1 0.250 0.250 0.250  0.01
Te2 0.750 0.750 0.750  0.01
Pt1 0.500 0.500 0.500  0.06


*b*
NbTe2Pt: relaxed, PBE-GGA.

Cell: 6.431 8.242 8.690 Å, 116.37 90.00 90.00°
Atoms (fractional coordinates):
Nb1 0.477 0.185 0.476
Nb2 0.977 0.315 0.524
Nb3 0.523 0.815 0.524
Nb4 0.023 0.685 0.476
Te1 0.729 0.095 0.180
Te2 0.229 0.405 0.820
Te3 0.271 0.905 0.820
Te4 0.771 0.595 0.180
Te5 0.771 0.647 0.725
Te6 0.271 0.853 0.275
Te7 0.229 0.353 0.275
Te8 0.729 0.147 0.725
Pt1 0.643 0.446 0.377
Pt2 0.143 0.054 0.623
Pt3 0.357 0.554 0.623
Pt4 0.857 0.946 0.377


Which one sits at the bottom of the stability order? *a* does.


*a*
TiNb3Pt: relaxed, PBE-GGA.

Cell: 4.885 4.885 4.885 Å, 90.00 90.00 90.00°
Atoms (fractional coordinates):
Nb1 0.000 0.500 0.000
Nb2 0.000 0.000 0.500
Nb3 0.500 0.000 0.000
Pt1 0.000 0.000 0.000
Ti1 0.500 0.500 0.500


*b*
TiNb3Pt: relaxed, PBE-GGA.

Cell: 2.737 7.374 9.451 Å, 110.56 90.00 100.70°
Atoms (fractional coordinates):
Ti1 0.952 0.903 0.852
Ti2 0.048 0.097 0.148
Nb1 0.354 0.707 0.561
Nb2 0.646 0.293 0.439
Nb3 0.752 0.504 0.763
Nb4 0.248 0.496 0.237
Nb5 0.058 0.116 0.660
Nb6 0.942 0.884 0.340
Pt1 0.632 0.263 0.960
Pt2 0.368 0.737 0.040


Which one sits at the bottom of the stability order? *a* does.


*a*
TiNb2Pt: relaxed, PBE-GGA.

Cell: 4.574 4.574 4.574 Å, 60.00 60.00 60.00°
Atoms (fractional coordinates):
Nb1 0.250 0.250 0.250
Nb2 0.750 0.750 0.750
Pt1 0.500 0.500 0.500
Ti1 0.000 0.000 0.000


*b*
TiNb2Pt: relaxed, PBE-GGA.

Cell: 4.539 3.878 3.878 Å, 90.00 90.00 90.00°
Atoms (fractional coordinates):
Nb1 0.000 0.000 0.500
Nb2 0.000 0.500 0.000
Pt1 0.500 0.500 0.500
Ti1 0.500 0.000 0.000


Which one sits at the bottom of the stability order? *a* does.


*a*
TiNb2Pt: relaxed, PBE-GGA.

Cell: 3.303 3.303 6.269 Å, 90.00 90.00 90.00°
Atoms (fractional coordinates):
Nb1 0.000 0.000 0.753
Nb2 0.000 0.000 0.247
Pt1 0.500 0.500 0.500
Ti1 0.500 0.500 0.000


*b*
TiNb2Pt: relaxed, PBE-GGA.

Cell: 3.290 3.290 6.311 Å, 90.00 90.00 90.00°
Atoms (fractional coordinates):
Ti1 0.500 0.500 0.750
Nb1 0.000 0.000 0.997
Nb2 0.500 0.500 0.246
Pt1 0.000 0.000 0.507


*c*
TiNb2Pt: relaxed, PBE-GGA.

Cell: 7.524 7.524 5.935 Å, 50.66 50.66 90.00°
Atoms (fractional coordinates):
Nb1 0.645 0.125 0.250
Nb2 0.105 0.625 0.250
Nb3 0.375 0.355 0.750
Nb4 0.875 0.895 0.750
Pt1 0.000 0.000 0.000
Pt2 0.750 0.250 0.500
Ti1 0.500 0.500 0.000
Ti2 0.250 0.750 0.500


Which one sits at the bottom of the stability order? *c* does.


*a*
Ti2Nb2Pt: relaxed, PBE-GGA.

Cell: 4.442 5.703 7.236 Å, 104.83 107.87 90.00°
Atoms (fractional coordinates):
Ti1 0.404 0.858 0.807
Ti2 0.403 0.358 0.807
Ti3 0.596 0.142 0.193
Ti4 0.597 0.642 0.193
Nb1 0.202 0.545 0.405
Nb2 0.798 0.955 0.595
Nb3 0.798 0.455 0.595
Nb4 0.202 0.045 0.405
Pt1 0.000 0.250 0.000
Pt2 0.000 0.750 0.000


*b*
Ti2Nb2Pt: relaxed, PBE-GGA.

Cell: 6.686 6.686 3.905 Å, 90.00 90.00 90.00°
Atoms (fractional coordinates):
Nb1 0.167 0.667 0.500
Nb2 0.667 0.833 0.500
Nb3 0.833 0.333 0.500
Nb4 0.333 0.167 0.500
Pt1 0.000 0.000 0.000
Pt2 0.500 0.500 0.000
Ti1 0.360 0.860 0.000
Ti2 0.860 0.640 0.000
Ti3 0.640 0.140 0.000
Ti4 0.140 0.360 0.000


Which one sits at the bottom of the stability order? *b* does.


*a*
Ti3NbPt: relaxed, PBE-GGA.

Cell: 5.397 8.120 8.120 Å, 84.25 77.92 77.92°
Atoms (fractional coordinates):
Ti1 0.148 0.740 0.858
Ti2 0.352 0.142 0.260
Ti3 0.852 0.260 0.142
Ti4 0.648 0.858 0.740
Ti5 0.331 0.399 0.992
Ti6 0.169 0.008 0.601
Ti7 0.669 0.601 0.008
Ti8 0.831 0.992 0.399
Ti9 0.020 0.431 0.754
Ti10 0.480 0.246 0.569
Ti11 0.980 0.569 0.246
Ti12 0.520 0.754 0.431
Nb1 0.750 0.913 0.087
Nb2 0.250 0.087 0.913
Nb3 0.750 0.172 0.828
Nb4 0.250 0.828 0.172
Pt1 0.543 0.531 0.694
Pt2 0.957 0.306 0.469
Pt3 0.457 0.469 0.306
Pt4 0.043 0.694 0.531


*b*
Ti3NbPt: relaxed, PBE-GGA.

Cell: 4.657 4.657 4.657 Å, 90.00 90.00 90.00°
Last column: magnetic moment on the atom in μB.
Atoms (fractional coordinates):
Nb1 0.000 0.000 0.000  0.00
Pt1 0.500 0.500 0.500  0.01
Ti1 0.000 0.500 0.000  0.42
Ti2 0.000 0.000 0.500  0.25
Ti3 0.500 0.000 0.000  0.46


Which one sits at the bottom of the stability order? *b* does.